No. 1
Here is a relaxed structure of Ho4TmTl2 from the Alexandria database. Energies are from PBE.

Unit cell a=6.197 b=6.197 c=6.134 alpha=93.45 beta=93.45 gamma=115.83
Sites, in units of the cell vectors:
Tm1 0.000 0.000 0.000
Ho1 0.801 0.199 0.500
Ho2 0.500 0.000 0.000
Ho3 0.199 0.801 0.500
Ho4 0.000 0.500 0.000
Tl1 0.428 0.428 0.735
Tl2 0.572 0.572 0.265

density of states at the Fermi level: 9.03 states/eV/cell
calculated formation energy: 110 meV per atom

---

No. 2
Here is a relaxed structure of La3Ga2Au4 from the Alexandria database. Energies are from PBE.

Unit cell a=4.693 b=6.039 c=8.978 alpha=111.58 beta=90.00 gamma=112.87
Sites, in units of the cell vectors:
La1 0.649 0.298 0.680
La2 0.351 0.702 0.320
La3 0.000 0.000 0.000
Au1 0.083 0.166 0.404
Au2 0.716 0.432 0.066
Au3 0.284 0.568 0.934
Au4 0.917 0.834 0.596
Ga1 0.643 0.286 0.313
Ga2 0.357 0.714 0.687

density of states at the Fermi level: 6.01 states/eV/cell
calculated formation energy: -813 meV per atom

---

No. 3
Here is a relaxed structure of YAlFe2H8 from the Alexandria database. Energies are from PBE.

Unit cell a=4.363 b=4.363 c=6.373 alpha=90.00 beta=90.00 gamma=120.00
Sites, in units of the cell vectors:
H1 0.145 0.290 0.781
H2 0.290 0.145 0.219
H3 0.855 0.710 0.219
H4 0.855 0.145 0.219
H5 0.710 0.855 0.781
H6 0.667 0.333 0.395
H7 0.333 0.667 0.605
H8 0.145 0.855 0.781
Fe1 0.333 0.667 0.853
Fe2 0.667 0.333 0.147
Y1 0.000 0.000 0.500
Al1 0.000 0.000 0.000

density of states at the Fermi level: 3.08 states/eV/cell
VASP energy: -4.434 eV/atom

---

The highest density of states at the Fermi level belongs to which entry? Ho4TmTl2

---

What is the density of states at the Fermi level in the first record? 9.03 states/eV/cell